PBE-GGA Y2Nb2Cr, optimized geometry; magnetization = 0.3 μB per cell; formation enthalpy at 0 K = 0.330 eV per atom
1.0
6.4973 0.0000 0.0000
0.0000 6.4973 0.0000
0.0000 0.0000 5.2297
Y Cr Nb
4 2 4
Cartesian
1.1215 4.3701 2.6149
4.3701 5.3758 2.6149
5.3758 2.1272 2.6149
2.1272 1.1215 2.6149
0.0000 0.0000 0.0000
3.2486 3.2486 0.0000
2.2766 5.5253 0.0000
5.5253 4.2206 0.0000
4.2206 0.9720 0.0000
0.9720 2.2766 0.0000